# 1
{
  "formula": "YSeBr",
  "functional": "PBE-GGA",
  "state": "optimized geometry",
  "lattice": [[7.708, -2.082, 0.000], [7.708, 2.082, 0.000], [-3.354, 0.000, 6.446]],
  "species": ["Y", "Y", "Se", "Se", "Br", "Br"],
  "fractional_positions": [[0.244, 0.244, 0.268], [0.756, 0.756, 0.732], [0.366, 0.366, 0.695], [0.634, 0.634, 0.305], [0.137, 0.137, 0.808], [0.863, 0.863, 0.192]],
  "crystal_system": "monoclinic",
  "mass_density_g_cm3": 4.0,
  "vol_a3_per_atom": 34.48,
  "e_tot_ry_per_atom": -0.420
}

***

# 2
{
  "formula": "NaSmRu2O8",
  "functional": "PBE-GGA",
  "state": "optimized geometry",
  "lattice": [[-2.641, 2.641, 5.836], [2.641, -2.641, 5.836], [2.641, 2.641, -5.836]],
  "species": ["Na", "Sm", "Ru", "Ru", "O", "O", "O", "O", "O", "O", "O", "O"],
  "fractional_positions": [[0.000, 0.000, 0.000], [0.750, 0.250, 0.500], [0.250, 0.750, 0.500], [0.500, 0.500, 0.000], [0.015, 0.918, 0.592], [0.082, 0.674, 0.097], [0.168, 0.272, 0.612], [0.326, 0.423, 0.408], [0.444, 0.832, 0.104], [0.577, 0.985, 0.903], [0.660, 0.556, 0.388], [0.728, 0.340, 0.896]],
  "crystal_system": "tetragonal",
  "mass_density_g_cm3": 5.1,
  "vol_a3_per_atom": 13.57,
  "e_tot_ry_per_atom": -0.500
}

***

# 3
{
  "formula": "GeSbAs",
  "functional": "PBE-GGA",
  "state": "optimized geometry",
  "lattice": [[3.972, 0.000, 0.000], [-1.986, 3.440, 0.000], [0.000, 0.000, 5.085]],
  "species": ["Ge", "Sb", "As"],
  "fractional_positions": [[0.000, 0.000, 0.000], [0.333, 0.667, 0.644], [0.667, 0.333, 0.290]],
  "e_above_lowest_polymorph_mev_per_atom": 0,
  "crystal_system": "trigonal",
  "mass_density_g_cm3": 6.4,
  "vol_a3_per_atom": 23.15
}

***

# 4
{
  "formula": "Zn2BiI",
  "functional": "PBE-GGA",
  "state": "optimized geometry",
  "lattice": [[-3.223, 3.223, 6.590], [3.223, -3.223, 6.590], [3.223, 3.223, -6.590]],
  "species": ["Zn", "Zn", "Zn", "Zn", "Bi", "Bi", "I", "I"],
  "fractional_positions": [[0.088, 0.625, 0.963], [0.375, 0.338, 0.463], [0.662, 0.125, 0.037], [0.875, 0.912, 0.537], [0.000, 0.000, 0.000], [0.750, 0.250, 0.500], [0.250, 0.750, 0.500], [0.500, 0.500, 0.000]],
  "e_above_lowest_polymorph_mev_per_atom": 0,
  "crystal_system": "tetragonal",
  "mass_density_g_cm3": 5.7,
  "vol_a3_per_atom": 34.23
}